# Pm2Dy8Mg

Crystalline Pm2Dy8Mg at its relaxed geometry (PBE, the Alexandria database).

M_tot	0.00	μB per cell
E_tot	-4.2153	eV per atom

Unit cell a=6.685 b=9.971 c=9.971 alpha=38.78 beta=59.76 gamma=59.76
Sites, in units of the cell vectors:
Dy (0.775, 0.180, 0.658)
Dy (0.178, 0.755, 0.755)
Dy (0.728, 0.594, 0.594)
Dy (0.272, 0.406, 0.406)
Dy (0.225, 0.820, 0.342)
Dy (0.225, 0.342, 0.820)
Mg (0.000, 0.000, 0.000)
Pm (0.421, 0.186, 0.186)
Dy (0.822, 0.245, 0.245)
Dy (0.775, 0.658, 0.180)
Pm (0.579, 0.814, 0.814)